(1)
Density functional theory data (GGA-PBEsol) for a relaxed LaCuN3 crystal.

a b c (Å): 4.265 4.265 4.265
angles (deg): 90.00 90.00 90.00
Element x y z (fractional)
N 0.000 0.500 0.000
N 0.000 0.000 0.500
N 0.500 0.000 0.000
Cu 0.500 0.500 0.500
La 0.000 0.000 0.000

Summary:
E_form (uncorrected), meV/atom: 1769
Spin magnetization, μB per cell: 0.00
Symmetry: Pm-3m

---

(2)
Density functional theory data (GGA-PBEsol) for a relaxed Mg2SiPd2 crystal.

a b c (Å): 4.254 6.258 6.258
angles (deg): 90.00 90.00 90.00
Element x y z (fractional)
Si 0.000 0.000 0.000
Si 0.000 0.500 0.500
Mg 0.500 0.164 0.664
Mg 0.500 0.664 0.836
Mg 0.500 0.836 0.336
Mg 0.500 0.336 0.164
Pd 0.000 0.346 0.846
Pd 0.000 0.846 0.654
Pd 0.000 0.654 0.154
Pd 0.000 0.154 0.346

Summary:
E_form (uncorrected), meV/atom: -566
Spin magnetization, μB per cell: 0.00
Symmetry: P4/mbm

---

(3)
Density functional theory data (GGA-PBEsol) for a relaxed In2IrSe crystal.

a b c (Å): 3.657 3.657 7.442
angles (deg): 75.78 75.78 60.00
Element x y z (fractional)
In 0.245 0.245 0.265
In 0.755 0.755 0.735
Ir 0.500 0.500 0.500
Se 0.000 0.000 0.000

Summary:
E_form (uncorrected), meV/atom: 44
Spin magnetization, μB per cell: 0.00
Symmetry: R-3m

---

(4)
Density functional theory data (GGA-PBEsol) for a relaxed TlInSe2 crystal.

a b c (Å): 6.575 6.575 6.575
angles (deg): 105.51 105.51 117.72
Element x y z (fractional)
Tl 0.250 0.250 0.000
Tl 0.750 0.750 0.000
Se 0.323 0.823 0.146
Se 0.677 0.177 0.854
Se 0.823 0.677 0.500
Se 0.177 0.323 0.500
In 0.750 0.250 0.500
In 0.250 0.750 0.500

Summary:
E_form (uncorrected), meV/atom: -492
Spin magnetization, μB per cell: 0.00
Symmetry: I4/mcm